No. 1
The following is a PBE-GGA calculation of a relaxed Ac2CdGe3Au4 crystal, from Alexandria via LeMat-Bulk.

Calculated values
Its formation energy is -0.589 eV/atom.

Structure (CIF):
```
data_Ac2CdGe3Au4
_space_group_name_H-M_alt 'P 1'
_space_group_IT_number 1
_space_group_name_Hall 'P 1'
_cell_length_a 4.5688
_cell_length_b 4.5688
_cell_length_c 11.0682
_cell_angle_alpha 90.00
_cell_angle_beta 90.00
_cell_angle_gamma 90.00
loop_
_atom_site_label
_atom_site_type_symbol
_atom_site_fract_x
_atom_site_fract_y
_atom_site_fract_z
_atom_site_occupancy
Au1 Au 0.5000 0.0000 0.6419 1
Au2 Au 0.0000 0.0000 0.0000 1
Au3 Au 0.5000 0.5000 0.0000 1
Au4 Au 0.0000 0.5000 0.3581 1
Ge1 Ge 0.5000 0.0000 0.8722 1
Ge2 Ge 0.0000 0.5000 0.1278 1
Ge3 Ge 0.0000 0.0000 0.5000 1
Ac1 Ac 0.5000 0.0000 0.2367 1
Ac2 Ac 0.0000 0.5000 0.7633 1
Cd1 Cd 0.5000 0.5000 0.5000 1
```

***

No. 2
The following is a PBE-GGA calculation of a relaxed Li2LaBiF crystal, from Alexandria via LeMat-Bulk.

Structure (CIF):
```
data_Li2LaBiF
_space_group_name_H-M_alt 'P 1'
_space_group_IT_number 1
_space_group_name_Hall 'P 1'
_cell_length_a 4.6372
_cell_length_b 4.6372
_cell_length_c 5.0820
_cell_angle_alpha 90.00
_cell_angle_beta 90.00
_cell_angle_gamma 90.00
loop_
_atom_site_label
_atom_site_type_symbol
_atom_site_fract_x
_atom_site_fract_y
_atom_site_fract_z
_atom_site_occupancy
Li1 Li 0.0000 0.5000 0.0000 1
Li2 Li 0.5000 0.0000 0.0000 1
La1 La 0.0000 0.0000 0.5000 1
F1 F 0.0000 0.0000 0.0000 1
Bi1 Bi 0.5000 0.5000 0.5000 1
```

***

No. 3
The following is a PBE-GGA calculation of a relaxed LiSmP2Pt7 crystal, from Alexandria via LeMat-Bulk.

Calculated values
Its formation energy is -0.379 eV/atom.

Structure (CIF):
```
data_LiSmP2Pt7
_space_group_name_H-M_alt 'P 1'
_space_group_IT_number 1
_space_group_name_Hall 'P 1'
_cell_length_a 4.1123
_cell_length_b 4.1123
_cell_length_c 12.8032
_cell_angle_alpha 99.24
_cell_angle_beta 99.24
_cell_angle_gamma 90.00
loop_
_atom_site_label
_atom_site_type_symbol
_atom_site_fract_x
_atom_site_fract_y
_atom_site_fract_z
_atom_site_occupancy
P1 P 0.1368 0.1368 0.2735 1
P2 P 0.8632 0.8632 0.7265 1
Pt1 Pt 0.0000 0.0000 0.0000 1
Pt2 Pt 0.9123 0.4123 0.8246 1
Pt3 Pt 0.0883 0.5883 0.1767 1
Pt4 Pt 0.5877 0.0877 0.1754 1
Pt5 Pt 0.2238 0.2238 0.4475 1
Pt6 Pt 0.4117 0.9117 0.8233 1
Pt7 Pt 0.7762 0.7762 0.5525 1
Li1 Li 0.2500 0.7500 0.5000 1
Sm1 Sm 0.5000 0.5000 0.0000 1
```

***

No. 4
The following is a PBE-GGA calculation of a relaxed PrTmTi crystal, from Alexandria via LeMat-Bulk.

Calculated values
Its formation energy is 0.081 eV/atom.

Structure (CIF):
```
data_PrTmTi
_space_group_name_H-M_alt 'P 1'
_space_group_IT_number 1
_space_group_name_Hall 'P 1'
_cell_length_a 3.5719
_cell_length_b 3.5719
_cell_length_c 13.0394
_cell_angle_alpha 90.00
_cell_angle_beta 90.00
_cell_angle_gamma 90.00
loop_
_atom_site_label
_atom_site_type_symbol
_atom_site_fract_x
_atom_site_fract_y
_atom_site_fract_z
_atom_site_occupancy
Tm1 Tm 0.5000 0.0000 0.8092 1
Tm2 Tm 0.0000 0.5000 0.1908 1
Ti1 Ti 0.5000 0.0000 0.0425 1
Ti2 Ti 0.0000 0.5000 0.9575 1
Pr1 Pr 0.0000 0.5000 0.6028 1
Pr2 Pr 0.5000 0.0000 0.3972 1
```

***

No. 5
The following is a PBE-GGA calculation of a relaxed YAg2Mo crystal, from Alexandria via LeMat-Bulk.

Calculated values
The energy above the most stable polymorph in this dataset is 92 meV/atom. Its formation energy is 0.385 eV/atom.

Structure (CIF):
```
data_YAg2Mo
_space_group_name_H-M_alt 'P 1'
_space_group_IT_number 1
_space_group_name_Hall 'P 1'
_cell_length_a 2.9716
_cell_length_b 2.9716
_cell_length_c 8.7438
_cell_angle_alpha 90.00
_cell_angle_beta 90.00
_cell_angle_gamma 89.98
loop_
_atom_site_label
_atom_site_type_symbol
_atom_site_fract_x
_atom_site_fract_y
_atom_site_fract_z
_atom_site_occupancy
Y1 Y 0.5000 0.5000 0.7500 1
Ag1 Ag 0.0000 0.0000 0.4798 1
Ag2 Ag 0.0000 0.0000 0.0202 1
Mo1 Mo 0.5000 0.5000 0.2500 1
```

***

No. 6
The following is a PBE-GGA calculation of a relaxed LaEr2Zn2Ga2 crystal, from Alexandria via LeMat-Bulk.

Calculated values
Its formation energy is -0.412 eV/atom.

Structure (CIF):
```
data_LaEr2Zn2Ga2
_space_group_name_H-M_alt 'P 1'
_space_group_IT_number 1
_space_group_name_Hall 'P 1'
_cell_length_a 4.4850
_cell_length_b 4.4850
_cell_length_c 9.6972
_cell_angle_alpha 76.63
_cell_angle_beta 76.63
_cell_angle_gamma 60.00
loop_
_atom_site_label
_atom_site_type_symbol
_atom_site_fract_x
_atom_site_fract_y
_atom_site_fract_z
_atom_site_occupancy
Zn1 Zn 0.4076 0.4076 0.7772 1
Zn2 Zn 0.5924 0.5924 0.2228 1
La1 La 0.0000 0.0000 0.0000 1
Ga1 Ga 0.7454 0.7454 0.7637 1
Ga2 Ga 0.2546 0.2546 0.2363 1
Er1 Er 0.8708 0.8708 0.3875 1
Er2 Er 0.1292 0.1292 0.6125 1
```

***

What total magnetic moment values result from the calculations? In sequence: 0.000 0.000 0.000 0.003 0.002 0.000 μB per cell.
What D(E_F) values result from the calculations? In sequence: 0.495 0.437 0.309 1.685 0.855 0.631 states/eV/atom.
What DFT total energy values result from the calculations? In sequence: -4.198 -4.292 -5.810 -5.634 -5.364 -3.648 eV/atom.